[1]
Compound: Ca2YNi
Source: Alexandria
Functional: PBE
Structure: optimized geometry

Calculated volume = 253 Å³ per cell
Mass density = 2.99 Mg/m³
Energy of formation from the pure elements = 0.159 eV/atom

Cell lengths 9.6111, 9.6111, 7.3262 Å; angles 49.01, 49.01, 90.00 degrees
Fractional positions:
Y: 0.0000 0.0000 0.0000
Y: 0.7500 0.2500 0.5000
Ni: 0.5000 0.5000 0.0000
Ni: 0.2500 0.7500 0.5000
Ca: 0.5098 0.1250 0.2500
Ca: 0.2402 0.6250 0.2500
Ca: 0.3750 0.4902 0.7500
Ca: 0.8750 0.7598 0.7500

=====

[2]
Compound: TiW3Cl
Source: Alexandria
Functional: PBE
Structure: optimized geometry

Calculated volume = 86 Å³ per cell
Mass density = 12.27 Mg/m³
E_form (uncorrected) = 6.727 eV per formula unit

Cell lengths 4.4121, 4.4121, 4.4121 Å; angles 90.00, 90.00, 90.00 degrees
Fractional positions:
Cl: 0.0000 0.0000 0.0000
W: 0.0000 0.5000 0.0000
W: 0.0000 0.0000 0.5000
W: 0.5000 0.0000 0.0000
Ti: 0.5000 0.5000 0.5000

=====

Which of these has the highest calculated volume? Ca2YNi

=====

What did the second record say?
Compound: TiW3Cl
Source: Alexandria
Functional: PBE
Structure: optimized geometry

Calculated volume = 86 Å³ per cell
Mass density = 12.27 Mg/m³
E_form (uncorrected) = 6.727 eV per formula unit

Cell lengths 4.4121, 4.4121, 4.4121 Å; angles 90.00, 90.00, 90.00 degrees
Fractional positions:
Cl: 0.0000 0.0000 0.0000
W: 0.0000 0.5000 0.0000
W: 0.0000 0.0000 0.5000
W: 0.5000 0.0000 0.0000
Ti: 0.5000 0.5000 0.5000

=====

Which value of calculated volume does entry 1 give? 253 Å³ per cell

=====

Please write out number 1 again, unchanged.
Compound: Ca2YNi
Source: Alexandria
Functional: PBE
Structure: optimized geometry

Calculated volume = 253 Å³ per cell
Mass density = 2.99 Mg/m³
Energy of formation from the pure elements = 0.159 eV/atom

Cell lengths 9.6111, 9.6111, 7.3262 Å; angles 49.01, 49.01, 90.00 degrees
Fractional positions:
Y: 0.0000 0.0000 0.0000
Y: 0.7500 0.2500 0.5000
Ni: 0.5000 0.5000 0.0000
Ni: 0.2500 0.7500 0.5000
Ca: 0.5098 0.1250 0.2500
Ca: 0.2402 0.6250 0.2500
Ca: 0.3750 0.4902 0.7500
Ca: 0.8750 0.7598 0.7500